Record 1
Material: Np2PtAu
Method: DFT, PBE
State: relaxed

Summary:
As for the total magnetization: 8.438 μB per formula unit. The calculation puts the energy of formation from the pure elements at -188.3 meV/atom.

Cell: 3.037 3.037 9.003 Å, 90.00 90.00 90.00°
Sites, in units of the cell vectors:
Np 0.000 0.000 0.238
Np 0.000 0.000 0.762
Pt 0.500 0.500 0.000
Au 0.500 0.500 0.500



Record 2
Material: NpPtAu2
Method: DFT, PBE
State: relaxed

Summary:
As for the total magnetization: 3.676 μB per formula unit. The calculation puts the energy of formation from the pure elements at -154.2 meV/atom.

Cell: 4.839 4.839 4.840 Å, 60.01 60.01 60.00°
Sites, in units of the cell vectors:
Au 0.250 0.250 0.250
Au 0.750 0.750 0.750
Pt 0.500 0.500 0.500
Np 0.000 0.000 0.000



E_tot (eV for the cell shown)
-35.95, -26.15